Tb2CoO4 (GGA+U, relaxed); DFT total energy = -7.53 eV/atom
1.0
-4.902 3.093 3.126
6.122 2.412 0.277
-3.403 0.295 -5.631
Co O Tb
2 8 4
Direct
0.000 0.000 0.000
0.750 0.500 0.250
0.139 0.760 0.380
0.620 0.240 0.380
0.620 0.760 0.380
0.130 0.260 0.389
0.620 0.240 0.861
0.130 0.740 0.870
0.130 0.260 0.870
0.611 0.740 0.870
0.375 0.750 0.125
0.375 0.750 0.625
0.375 0.250 0.625
0.875 0.250 0.625